DFT (PBE) results for a geometry-optimized LaAs3 structure.

Geometry as POSCAR:
```
LaAs3
1.0
6.303 0.000 0.000
-3.151 5.458 0.000
0.000 0.000 5.816
La As
2 6
Cartesian
0.000 3.639 1.454 La
3.151 1.819 4.362 La
0.000 2.155 4.362 As
-1.285 4.381 4.362 As
1.866 1.078 1.454 As
1.285 4.381 4.362 As
4.436 1.078 1.454 As
3.151 3.303 1.454 As
```

SG   No. 194
Energy of formation   -633 meV per atom
N(E_F)   4.3 states/eV per cell
E_tot   -5.352 eV per atom
Magnetization   0.0 μB/cell